Entry from the Alexandria database: a geometry-optimized In2PtCl structure (PBE).

Computed properties:
Formation energy from raw total energies ... -412 meV/atom
ΔE to the lowest computed polymorph ... 86 meV per atom
Volume ... 194 Å³/cell
Total magnetization ... 0.00 μB per formula unit

```
data_In2PtCl
_chemical_formula_sum 'In4 Pt2 Cl2'
_cell_length_a 3.3192
_cell_length_b 3.7840
_cell_length_c 15.4512
_cell_angle_alpha 90.00
_cell_angle_beta 90.00
_cell_angle_gamma 90.00
_symmetry_space_group_name_H-M 'I m m 2'
_symmetry_Int_Tables_number 44
loop_
_symmetry_equiv_pos_as_xyz
'x,y,z'
'-x,-y,z'
'-x,y,z'
'x,-y,z'
'x+1/2,y+1/2,z+1/2'
'-x+1/2,-y+1/2,z+1/2'
'-x+1/2,y+1/2,z+1/2'
'x+1/2,-y+1/2,z+1/2'
loop_
_atom_site_label
_atom_site_type_symbol
_atom_site_fract_x
_atom_site_fract_y
_atom_site_fract_z
In1 In 0.0000 0.0000 0.0000
In2 In 0.0000 0.5000 0.2928
Pt1 Pt 0.0000 0.5000 0.8669
Cl1 Cl 0.0000 0.0000 0.6484
```